(1)
Material: TlPCl2
Method: DFT, PBE
State: relaxed

Properties
As for the energy above the most stable polymorph in this dataset: 0.155 eV/atom. Its mass density is 4159 kg/m3. For the formation energy without anion corrections, the calculation gives -0.130 eV/atom. Its spin magnetization is 0.00 μB per formula unit. As for the density of states at the Fermi level: 2.1 states/eV per cell.

a = 9.207 Å, b = 9.207 Å, c = 3.431 Å
α = 79.21°, β = 79.21°, γ = 25.36°
Element x y z (fractional)
Cl  0.034  0.034  0.338
Cl  0.705  0.705  0.674
P  0.476  0.476  0.396
Tl  0.286  0.286  0.092

---

(2)
Material: TlPCl2
Method: DFT, PBE
State: relaxed

Properties
As for the energy above the most stable polymorph in this dataset: 0.390 eV/atom. Its mass density is 4800 kg/m3. For the formation energy without anion corrections, the calculation gives 0.105 eV/atom. Its spin magnetization is 0.20 μB per formula unit. As for the density of states at the Fermi level: 2.5 states/eV per cell.

a = 8.696 Å, b = 6.560 Å, c = 3.254 Å
α = 60.46°, β = 111.70°, γ = 138.98°
Last column: magnetic moment on the atom in μB.
Element x y z (fractional)
Cl  0.000  0.000  0.000  0.00
Cl  0.500  0.000  0.500  0.00
P  0.000  0.500  0.500  0.09
Tl  0.500  0.500  0.000  0.00

---

(3)
Material: TlP2Cl
Method: DFT, PBE
State: relaxed

Properties
As for the energy above the most stable polymorph in this dataset: 0.785 eV/atom. Its mass density is 5282 kg/m3. For the formation energy without anion corrections, the calculation gives 0.542 eV/atom. Its spin magnetization is 0.00 μB per formula unit. As for the density of states at the Fermi level: 2.0 states/eV per cell.

a = 6.901 Å, b = 6.901 Å, c = 2.950 Å
α = 90.00°, β = 90.00°, γ = 137.54°
Element x y z (fractional)
Cl  0.000  0.500  0.500
P  0.000  0.000  0.000
P  0.500  0.500  0.000
Tl  0.500  0.000  0.500

---

(4)
Material: TlPCl2
Method: DFT, PBE
State: relaxed

Properties
As for the energy above the most stable polymorph in this dataset: 0.424 eV/atom. Its mass density is 5365 kg/m3. For the formation energy without anion corrections, the calculation gives 0.139 eV/atom. Its spin magnetization is 0.00 μB per formula unit. As for the density of states at the Fermi level: 2.7 states/eV per cell.

a = 3.526 Å, b = 6.079 Å, c = 4.422 Å
α = 90.00°, β = 90.00°, γ = 90.00°
Element x y z (fractional)
Cl  0.000  0.000  0.000
Cl  0.500  0.500  0.000
P  0.500  0.000  0.500
Tl  0.000  0.500  0.500

---

- Among the records above, which one has the highest spin magnetization?
  number 2